DFT (PBE) results for an optimized crystal structure of ZrGeBiO5.

Output
As for the crystal system: monoclinic. Its formation energy from raw total energies is -2.00 eV/atom. The value obtained for the electronic total energy is -7.23 eV per atom.

Unit cell a=6.979 b=9.386 c=7.853 alpha=90.00 beta=112.73 gamma=90.00
Space group C2/c (No. 15)
Asymmetric unit:
Zr 0.000 0.000 0.000 (multiplicity 4)
Ge 0.000 0.319 0.250 (multiplicity 4)
Bi 0.000 0.323 0.750 (multiplicity 4)
O 0.000 0.077 0.750 (multiplicity 4)
O 0.113 0.206 0.127 (multiplicity 8)
O 0.185 0.437 0.404 (multiplicity 8)



DFT (PBE) results for an optimized crystal structure of MnRh2Br.

Output
As for the crystal system: tetragonal. Its formation energy from raw total energies is 0.48 eV/atom. The value obtained for the electronic total energy is -5.90 eV per atom.

Unit cell a=4.069 b=4.069 c=7.567 alpha=90.00 beta=90.00 gamma=90.00
Space group I4/mmm (No. 139)
Asymmetric unit:
Mn 0.000 0.000 0.000 (multiplicity 2)
Rh 0.000 0.500 0.250 (multiplicity 4)
Br 0.000 0.000 0.500 (multiplicity 2)



Please write out number 1 again, unchanged.
DFT (PBE) results for an optimized crystal structure of ZrGeBiO5.

Output
As for the crystal system: monoclinic. Its formation energy from raw total energies is -2.00 eV/atom. The value obtained for the electronic total energy is -7.23 eV per atom.

Unit cell a=6.979 b=9.386 c=7.853 alpha=90.00 beta=112.73 gamma=90.00
Space group C2/c (No. 15)
Asymmetric unit:
Zr 0.000 0.000 0.000 (multiplicity 4)
Ge 0.000 0.319 0.250 (multiplicity 4)
Bi 0.000 0.323 0.750 (multiplicity 4)
O 0.000 0.077 0.750 (multiplicity 4)
O 0.113 0.206 0.127 (multiplicity 8)
O 0.185 0.437 0.404 (multiplicity 8)



Question: Which value of electronic total energy does entry 2 give?
Answer: -5.90 eV per atom



Question: What is the electronic total energy in the first record?
Answer: -7.23 eV per atom



Repeat the first record exactly.
DFT (PBE) results for an optimized crystal structure of ZrGeBiO5.

Output
As for the crystal system: monoclinic. Its formation energy from raw total energies is -2.00 eV/atom. The value obtained for the electronic total energy is -7.23 eV per atom.

Unit cell a=6.979 b=9.386 c=7.853 alpha=90.00 beta=112.73 gamma=90.00
Space group C2/c (No. 15)
Asymmetric unit:
Zr 0.000 0.000 0.000 (multiplicity 4)
Ge 0.000 0.319 0.250 (multiplicity 4)
Bi 0.000 0.323 0.750 (multiplicity 4)
O 0.000 0.077 0.750 (multiplicity 4)
O 0.113 0.206 0.127 (multiplicity 8)
O 0.185 0.437 0.404 (multiplicity 8)